Entry from the Alexandria database: an optimized crystal structure of SrPmFe2O5 (PBE with a Hubbard U).

Values from the calculation:
electronic total energy: -6.987 eV per atom

```
9
Lattice="-0.522 2.103 -3.329 2.816 -2.147 -1.798 -5.264 -4.969 -2.312" Properties=species:S:1:pos:R:3 pbc="T T T"
Sr -2.632 -2.484 -1.156
Pm 0.000 0.000 0.000
Fe -0.104 -1.202 -3.113
Fe -2.867 -3.810 -4.327
O 0.374 -2.050 -1.353
O -1.296 0.075 -2.119
O -2.822 -5.066 -2.757
O -4.491 -2.941 -3.522
O -1.485 -2.506 -3.720
```